No. 1
A plane-wave DFT calculation with SCAN was carried out for a crystal of Y2MgIn relaxed with PBEsol.

Calculated values
ΔH_f (0 K)	-362	meV per atom
crystal system	orthorhombic
spin magnetization	0.175	μB per cell
calculated total energy	-23.87	eV per atom
density	5.05	g/cm³
space group	Imm2 (44)
density of states at the Fermi level	3.413	states/eV/cell

Cell: 6.264 6.264 6.264 Å, 145.05 131.56 61.11°
Atoms (fractional coordinates):
Y 0.000 0.000 0.000
Y 0.734 0.234 0.500
Mg 0.466 0.466 0.000
In 0.260 0.760 0.500

=====

No. 2
A plane-wave DFT calculation with SCAN was carried out for a crystal of KMnCl2 relaxed with PBEsol.

Calculated values
crystal system	tetragonal
spin magnetization	5.017	μB per cell
calculated total energy	-11.74	eV per atom
density	3.19	g/cm³
relative energy among the computed polymorphs	0.0891	eV per atom
space group	P4/mmm (123)
density of states at the Fermi level	1.237	states/eV/cell

Cell: 5.088 5.088 3.314 Å, 90.00 90.00 90.00°
Atoms (fractional coordinates):
K 0.000 0.000 0.000
Mn 0.500 0.500 0.000
Cl 0.000 0.500 0.500
Cl 0.500 0.000 0.500

=====

No. 3
A plane-wave DFT calculation with SCAN was carried out for a crystal of CaYHg relaxed with PBEsol.

Calculated values
ΔH_f (0 K)	-332	meV per atom
crystal system	trigonal
spin magnetization	0.000	μB per cell
calculated total energy	-35.56	eV per atom
density	6.47	g/cm³
relative energy among the computed polymorphs	0.1471	eV per atom
space group	P3m1 (156)
density of states at the Fermi level	3.204	states/eV/cell

Cell: 5.084 5.084 3.779 Å, 90.00 90.00 120.00°
Atoms (fractional coordinates):
Ca 0.000 0.000 0.000
Y 0.667 0.333 0.539
Hg 0.333 0.667 0.316